one:
Density functional theory data (GGA-PBE) for a relaxed structure of Ag2Bi2Te.

Cell and atoms, written as POSCAR:
```
Ag2Bi2Te
1.0
-1.862 3.319 -1.166
-2.613 -0.421 2.973
2.784 6.046 5.967
Te Bi Ag
1 2 2
Cartesian
0.000 0.000 0.000
-1.127 2.465 2.023
-0.564 6.478 5.751
-0.658 5.407 2.852
-1.033 3.537 4.922
```

Output
**SG**: I4/mmm
**Total magnetic moment**: 0.00 μB/f.u.

---

two:
Density functional theory data (GGA-PBE) for a relaxed structure of Ag2Bi2Te.

Cell and atoms, written as POSCAR:
```
Ag2Bi2Te
1.0
-0.813 5.371 5.568
-7.534 0.721 -1.795
-1.004 -3.191 2.931
Te Bi Ag
2 4 4
Cartesian
0.000 0.000 0.000
-4.173 3.046 1.886
-5.473 -0.356 1.112
-7.472 2.482 3.517
-3.877 3.257 5.592
-1.878 0.419 3.187
-6.825 2.593 0.485
-5.478 5.110 3.687
-1.521 3.499 3.288
-2.869 0.982 0.086
```

Output
**SG**: P4/mbm
**Total magnetic moment**: 0.00 μB/f.u.

---

three:
Density functional theory data (GGA-PBE) for a relaxed structure of Ag2Bi2Te.

Cell and atoms, written as POSCAR:
```
Ag2Bi2Te
1.0
-5.257 -6.402 3.992
7.480 -5.058 1.740
0.343 1.475 2.817
Te Bi Ag
2 4 4
Cartesian
0.000 0.000 0.000
1.111 -5.730 2.866
4.431 -6.093 2.652
0.890 -8.677 4.436
-2.209 -5.367 3.080
1.332 -2.783 1.296
4.153 -3.038 2.902
3.637 -7.667 5.389
-1.588 -6.946 5.647
-1.072 -2.317 3.160
```

Output
**SG**: P4/mbm
**Total magnetic moment**: 0.00 μB/f.u.

---

Relative energies, in eV/atom, with the most stable structure set to zero: one 0.019; two 0.025; three 0.000.